1.
Entry from Alexandria via LeMat-Bulk: crystalline Tb3Ho5Se8 at its relaxed geometry (PBE).

Properties
Energy relative to the elements, uncorrected (eV/atom): -1.736
Electronic total energy (eV per cell): -92.4
Mass density (kg/m3): 8409

Unit cell a=8.142 b=8.142 c=8.143 alpha=60.01 beta=60.01 gamma=60.00
Atoms (fractional coordinates):
Se (0.251, 0.251, 0.246)
Se (0.750, 0.750, 0.247)
Tb (0.500, 0.000, 0.500)
Ho (0.500, 0.500, 0.500)
Se (0.750, 0.253, 0.247)
Se (0.250, 0.250, 0.753)
Ho (0.500, 0.500, 0.000)
Se (0.253, 0.750, 0.247)
Tb (0.000, 0.500, 0.500)
Se (0.749, 0.749, 0.754)
Tb (0.000, 0.000, 0.500)
Se (0.747, 0.250, 0.753)
Ho (0.000, 0.500, 0.000)
Ho (0.000, 0.000, 0.000)
Ho (0.500, 0.000, 0.000)
Se (0.250, 0.747, 0.753)


2.
Entry from Alexandria via LeMat-Bulk: crystalline TbHoSe at its relaxed geometry (PBE).

Properties
Energy relative to the elements, uncorrected (eV/atom): -1.107
Electronic total energy (eV per cell): -16.0
Mass density (kg/m3): 7990

Unit cell a=3.843 b=3.843 c=6.546 alpha=90.00 beta=90.00 gamma=120.00
Site moments in Bohr magnetons follow the coordinates.
Atoms (fractional coordinates):
Tb (0.000, 0.000, 0.052)  -0.15
Ho (0.333, 0.667, 0.613)  0.16
Se (0.667, 0.333, 0.335)  0.00


3.
Entry from Alexandria via LeMat-Bulk: crystalline Tb2Ho4Se9 at its relaxed geometry (PBE).

Properties
Energy relative to the elements, uncorrected (eV/atom): -1.858
Electronic total energy (eV per cell): -173.6
Mass density (kg/m3): 6433

Unit cell a=7.190 b=7.192 c=19.455 alpha=90.00 beta=90.02 gamma=60.03
Atoms (fractional coordinates):
Ho (0.667, 0.667, 0.014)
Se (0.973, 0.365, 0.417)
Ho (0.666, 0.667, 0.319)
Ho (0.334, 0.333, 0.486)
Se (0.338, 0.026, 0.584)
Se (0.694, 0.000, 0.750)
Se (0.307, 0.693, 0.750)
Se (0.662, 0.974, 0.416)
Se (0.028, 0.336, 0.083)
Se (0.365, 0.972, 0.917)
Se (0.027, 0.635, 0.583)
Se (0.337, 0.635, 0.083)
Tb (0.000, 0.001, 0.849)
Ho (0.668, 0.666, 0.819)
Ho (0.334, 0.333, 0.681)
Se (0.972, 0.664, 0.917)
Se (0.001, 0.307, 0.750)
Se (0.999, 0.693, 0.250)
Tb (0.000, 0.999, 0.151)
Se (0.363, 0.664, 0.416)
Tb (0.999, 0.002, 0.348)
Ho (0.333, 0.333, 0.986)
Se (0.663, 0.365, 0.917)
Se (0.306, 0.000, 0.250)
Tb (0.001, 0.998, 0.652)
Se (0.635, 0.028, 0.083)
Se (0.693, 0.307, 0.250)
Ho (0.332, 0.334, 0.181)
Se (0.637, 0.336, 0.584)
Ho (0.666, 0.667, 0.514)


4.
Entry from Alexandria via LeMat-Bulk: crystalline TbHo5Se6 at its relaxed geometry (PBE).

Properties
Energy relative to the elements, uncorrected (eV/atom): -1.731
Electronic total energy (eV per cell): -69.2
Mass density (kg/m3): 8519

Unit cell a=7.016 b=7.035 c=7.051 alpha=60.07 beta=80.35 gamma=70.37
Atoms (fractional coordinates):
Ho (0.500, 0.835, 0.329)
Tb (0.000, 0.000, 0.000)
Se (0.250, 0.252, 0.000)
Se (0.748, 0.420, 0.664)
Ho (0.000, 0.666, 0.668)
Ho (0.000, 0.334, 0.332)
Se (0.252, 0.580, 0.336)
Ho (0.500, 0.500, 0.000)
Se (0.252, 0.916, 0.664)
Se (0.748, 0.084, 0.336)
Ho (0.500, 0.165, 0.671)
Se (0.750, 0.748, 0.000)


5.
Entry from Alexandria via LeMat-Bulk: crystalline Tb2Ho3Se4 at its relaxed geometry (PBE).

Properties
Energy relative to the elements, uncorrected (eV/atom): -1.537
Electronic total energy (eV per cell): -50.8
Mass density (kg/m3): 8203

Unit cell a=3.974 b=3.974 c=16.702 alpha=90.02 beta=89.98 gamma=119.99
Atoms (fractional coordinates):
Se (0.667, 0.333, 0.102)
Se (0.000, 0.000, 0.688)
Tb (0.333, 0.667, 0.208)
Ho (0.000, 0.000, 0.000)
Ho (0.334, 0.666, 0.583)
Se (0.000, 0.000, 0.312)
Tb (0.667, 0.333, 0.792)
Ho (0.666, 0.334, 0.417)
Se (0.333, 0.667, 0.898)


6.
Entry from Alexandria via LeMat-Bulk: crystalline Tb2Ho2Se3 at its relaxed geometry (PBE).

Properties
Energy relative to the elements, uncorrected (eV/atom): -1.473
Electronic total energy (eV per cell): -39.2
Mass density (kg/m3): 8114

Unit cell a=3.978 b=6.929 c=6.977 alpha=100.35 beta=106.56 gamma=90.00
Atoms (fractional coordinates):
Ho (0.882, 0.616, 0.764)
Ho (0.118, 0.384, 0.236)
Tb (0.624, 0.860, 0.248)
Tb (0.376, 0.140, 0.752)
Se (0.742, 0.250, 0.483)
Se (0.258, 0.750, 0.517)
Se (0.000, 0.000, 0.000)


7.
Entry from Alexandria via LeMat-Bulk: crystalline TbHoSe2 at its relaxed geometry (PBE).

Properties
Energy relative to the elements, uncorrected (eV/atom): -1.748
Electronic total energy (eV per cell): -23.2
Mass density (kg/m3): 8260

Unit cell a=3.974 b=3.974 c=7.444 alpha=74.52 beta=74.52 gamma=60.00
Atoms (fractional coordinates):
Tb (0.495, 0.495, 0.515)
Ho (0.672, 0.672, 0.984)
Se (0.081, 0.081, 0.758)
Se (0.252, 0.252, 0.243)


8.
Entry from Alexandria via LeMat-Bulk: crystalline TbHo2Se at its relaxed geometry (PBE).

Properties
Energy relative to the elements, uncorrected (eV/atom): -0.802
Electronic total energy (eV per cell): -20.5
Mass density (kg/m3): 8148

Unit cell a=3.771 b=3.771 c=9.646 alpha=78.73 beta=78.73 gamma=60.00
Site moments in Bohr magnetons follow the coordinates.
Atoms (fractional coordinates):
Ho (0.066, 0.066, 0.802)  0.08
Ho (0.268, 0.268, 0.197)  0.04
Se (0.667, 0.667, 0.000)  0.00
Tb (0.500, 0.500, 0.501)  0.19


9.
Entry from Alexandria via LeMat-Bulk: crystalline Tb3HoSe6 at its relaxed geometry (PBE).

Properties
Energy relative to the elements, uncorrected (eV/atom): -1.852
Electronic total energy (eV per cell): -115.8
Mass density (kg/m3): 6223

Unit cell a=8.413 b=8.413 c=8.413 alpha=90.95 beta=90.95 gamma=90.95
Atoms (fractional coordinates):
Se (0.911, 0.085, 0.314)
Se (0.408, 0.181, 0.538)
Se (0.686, 0.089, 0.915)
Se (0.819, 0.462, 0.592)
Se (0.462, 0.592, 0.819)
Tb (0.430, 0.921, 0.754)
Se (0.915, 0.686, 0.089)
Tb (0.754, 0.430, 0.921)
Se (0.538, 0.408, 0.181)
Se (0.314, 0.911, 0.085)
Se (0.181, 0.538, 0.408)
Tb (0.921, 0.754, 0.430)
Tb (0.570, 0.079, 0.246)
Ho (0.000, 0.000, 0.000)
Se (0.592, 0.819, 0.462)
Se (0.089, 0.915, 0.686)
Tb (0.246, 0.570, 0.079)
Ho (0.500, 0.500, 0.500)
Tb (0.079, 0.246, 0.570)
Se (0.085, 0.314, 0.911)


10.
Entry from Alexandria via LeMat-Bulk: crystalline Tb4Ho2Se9 at its relaxed geometry (PBE).

Properties
Energy relative to the elements, uncorrected (eV/atom): -1.860
Electronic total energy (eV per cell): -173.9
Mass density (kg/m3): 6330

Unit cell a=7.214 b=7.216 c=19.499 alpha=90.00 beta=90.02 gamma=60.03
Atoms (fractional coordinates):
Ho (0.999, 0.001, 0.347)
Se (0.640, 0.030, 0.083)
Se (0.001, 0.303, 0.750)
Se (0.670, 0.360, 0.917)
Se (0.029, 0.640, 0.583)
Se (0.971, 0.360, 0.417)
Se (0.030, 0.329, 0.083)
Tb (0.334, 0.333, 0.681)
Tb (0.668, 0.666, 0.818)
Se (0.330, 0.640, 0.083)
Ho (0.000, 0.001, 0.848)
Se (0.642, 0.330, 0.583)
Se (0.698, 0.000, 0.750)
Se (0.331, 0.029, 0.583)
Tb (0.333, 0.333, 0.985)
Se (0.970, 0.671, 0.917)
Tb (0.666, 0.667, 0.515)
Se (0.697, 0.303, 0.250)
Se (0.360, 0.970, 0.917)
Tb (0.667, 0.667, 0.015)
Se (0.302, 0.000, 0.250)
Tb (0.334, 0.333, 0.485)
Ho (0.001, 0.999, 0.653)
Tb (0.666, 0.667, 0.319)
Se (0.999, 0.697, 0.250)
Se (0.669, 0.971, 0.417)
Ho (0.000, 0.999, 0.152)
Tb (0.332, 0.334, 0.182)
Se (0.358, 0.670, 0.417)
Se (0.303, 0.697, 0.750)


11.
Entry from Alexandria via LeMat-Bulk: crystalline TbHo4Se6 at its relaxed geometry (PBE).

Properties
Energy relative to the elements, uncorrected (eV/atom): -1.808
Electronic total energy (eV per cell): -127.5
Mass density (kg/m3): 7833

Unit cell a=3.977 b=6.954 c=20.676 alpha=90.00 beta=90.00 gamma=106.62
Atoms (fractional coordinates):
Se (0.769, 0.538, 0.409)
Se (0.231, 0.462, 0.591)
Ho (0.141, 0.281, 0.038)
Se (0.052, 0.105, 0.166)
Ho (0.859, 0.719, 0.962)
Se (0.689, 0.379, 0.750)
Se (0.948, 0.895, 0.666)
Se (0.500, 0.000, 0.500)
Ho (0.590, 0.179, 0.627)
Se (0.052, 0.105, 0.334)
Ho (0.410, 0.821, 0.127)
Ho (0.590, 0.179, 0.873)
Ho (0.141, 0.281, 0.462)
Ho (0.859, 0.719, 0.538)
Se (0.948, 0.895, 0.834)
Ho (0.410, 0.821, 0.373)
Tb (0.653, 0.305, 0.250)
Tb (0.347, 0.695, 0.750)
Se (0.500, 0.000, 0.000)
Se (0.231, 0.462, 0.909)
Se (0.311, 0.621, 0.250)
Se (0.769, 0.538, 0.091)


12.
Entry from Alexandria via LeMat-Bulk: crystalline TbHoSe2 at its relaxed geometry (PBE).

Properties
Energy relative to the elements, uncorrected (eV/atom): -1.386
Electronic total energy (eV per cell): -43.4
Mass density (kg/m3): 6390

Unit cell a=4.256 b=6.435 c=9.144 alpha=90.00 beta=90.00 gamma=89.99
Atoms (fractional coordinates):
Ho (0.701, 0.298, 0.445)
Tb (0.701, 0.432, 0.023)
Ho (0.201, 0.798, 0.771)
Tb (0.201, 0.932, 0.193)
Se (0.201, 0.045, 0.512)
Se (0.701, 0.658, 0.281)
Se (0.201, 0.158, 0.935)
Se (0.701, 0.545, 0.704)


13.
Entry from Alexandria via LeMat-Bulk: crystalline TbHoSe at its relaxed geometry (PBE).

Properties
Energy relative to the elements, uncorrected (eV/atom): -0.955
Electronic total energy (eV per cell): -15.6
Mass density (kg/m3): 8452

Unit cell a=3.589 b=3.589 c=6.647 alpha=105.66 beta=105.66 gamma=90.00
Atoms (fractional coordinates):
Se (0.332, 0.332, 0.664)
Tb (0.979, 0.979, 0.959)
Ho (0.689, 0.689, 0.377)


14.
Entry from Alexandria via LeMat-Bulk: crystalline TbHoSe2 at its relaxed geometry (PBE).

Properties
Energy relative to the elements, uncorrected (eV/atom): -1.748
Electronic total energy (eV per cell): -23.2
Mass density (kg/m3): 8361

Unit cell a=4.083 b=4.083 c=7.034 alpha=73.13 beta=73.13 gamma=60.00
Atoms (fractional coordinates):
Se (0.249, 0.249, 0.254)
Ho (0.500, 0.500, 0.500)
Se (0.751, 0.751, 0.746)
Tb (0.000, 0.000, 0.000)


15.
Entry from Alexandria via LeMat-Bulk: crystalline Tb5Ho3Se8 at its relaxed geometry (PBE).

Properties
Energy relative to the elements, uncorrected (eV/atom): -1.749
Electronic total energy (eV per cell): -92.7
Mass density (kg/m3): 8295

Unit cell a=8.162 b=8.162 c=8.164 alpha=60.01 beta=60.01 gamma=60.00
Atoms (fractional coordinates):
Ho (0.500, 0.000, 0.500)
Se (0.250, 0.250, 0.747)
Se (0.250, 0.753, 0.747)
Tb (0.500, 0.500, 0.500)
Se (0.753, 0.250, 0.747)
Se (0.750, 0.750, 0.253)
Se (0.751, 0.751, 0.746)
Tb (0.000, 0.000, 0.000)
Tb (0.500, 0.000, 0.000)
Ho (0.000, 0.000, 0.500)
Ho (0.000, 0.500, 0.500)
Se (0.249, 0.249, 0.254)
Tb (0.000, 0.500, 0.000)
Se (0.750, 0.247, 0.253)
Tb (0.500, 0.500, 0.000)
Se (0.247, 0.750, 0.253)


16.
Entry from Alexandria via LeMat-Bulk: crystalline Tb6Ho2Se3 at its relaxed geometry (PBE).

Properties
Energy relative to the elements, uncorrected (eV/atom): -0.887
Electronic total energy (eV per cell): -57.2
Mass density (kg/m3): 7980

Unit cell a=3.806 b=3.806 c=25.315 alpha=85.69 beta=85.69 gamma=60.00
Atoms (fractional coordinates):
Tb (0.926, 0.926, 0.221)
Tb (0.815, 0.815, 0.555)
Tb (0.074, 0.074, 0.779)
Ho (0.444, 0.444, 0.667)
Tb (0.358, 0.358, 0.926)
Ho (0.556, 0.556, 0.333)
Se (0.715, 0.715, 0.854)
Tb (0.642, 0.642, 0.074)
Se (0.285, 0.285, 0.146)
Tb (0.185, 0.185, 0.445)
Se (0.000, 0.000, 0.000)


17.
Entry from Alexandria via LeMat-Bulk: crystalline TbHo3Se4 at its relaxed geometry (PBE).

Properties
Energy relative to the elements, uncorrected (eV/atom): -1.736
Electronic total energy (eV per cell): -92.4
Mass density (kg/m3): 8479

Unit cell a=7.068 b=7.075 c=8.043 alpha=90.00 beta=90.00 gamma=109.22
Atoms (fractional coordinates):
Tb (0.250, 0.000, 0.124)
Ho (0.750, 0.000, 0.374)
Ho (0.250, 0.500, 0.876)
Ho (0.750, 0.500, 0.124)
Se (0.001, 0.251, 0.623)
Se (0.500, 0.747, 0.126)
Se (0.000, 0.253, 0.126)
Se (0.999, 0.749, 0.377)
Ho (0.250, 0.500, 0.374)
Se (0.000, 0.747, 0.874)
Se (0.500, 0.253, 0.874)
Ho (0.250, 0.000, 0.626)
Ho (0.750, 0.500, 0.626)
Se (0.499, 0.749, 0.623)
Tb (0.750, 0.000, 0.876)
Se (0.501, 0.251, 0.377)


18.
Entry from Alexandria via LeMat-Bulk: crystalline TbHo2Se at its relaxed geometry (PBE).

Properties
Energy relative to the elements, uncorrected (eV/atom): -0.677
Electronic total energy (eV per cell): -20.0
Mass density (kg/m3): 8629

Unit cell a=3.601 b=3.601 c=8.427 alpha=90.00 beta=90.00 gamma=90.00
Atoms (fractional coordinates):
Ho (0.000, 0.000, 0.791)
Tb (0.500, 0.500, 0.500)
Se (0.500, 0.500, 0.000)
Ho (0.000, 0.000, 0.209)


19.
Entry from Alexandria via LeMat-Bulk: crystalline Tb6HoSe8 at its relaxed geometry (PBE).

Properties
Energy relative to the elements, uncorrected (eV/atom): -1.845
Electronic total energy (eV per cell): -87.9
Mass density (kg/m3): 7566

Unit cell a=8.160 b=8.160 c=8.160 alpha=60.00 beta=60.00 gamma=60.00
Atoms (fractional coordinates):
Se (0.252, 0.748, 0.252)
Tb (0.000, 0.000, 0.500)
Se (0.748, 0.252, 0.252)
Se (0.750, 0.750, 0.750)
Tb (0.500, 0.000, 0.500)
Ho (0.000, 0.000, 0.000)
Tb (0.500, 0.000, 0.000)
Se (0.252, 0.252, 0.748)
Se (0.250, 0.250, 0.250)
Se (0.748, 0.252, 0.748)
Tb (0.000, 0.500, 0.000)
Tb (0.000, 0.500, 0.500)
Se (0.252, 0.748, 0.748)
Tb (0.500, 0.500, 0.000)
Se (0.748, 0.748, 0.252)


20.
Entry from Alexandria via LeMat-Bulk: crystalline Tb2Ho3Se8 at its relaxed geometry (PBE).

Properties
Energy relative to the elements, uncorrected (eV/atom): -1.714
Electronic total energy (eV per cell): -73.2
Mass density (kg/m3): 6236

Unit cell a=6.972 b=8.194 c=8.233 alpha=119.84 beta=106.82 gamma=90.00
Atoms (fractional coordinates):
Tb (0.337, 0.258, 0.516)
Se (0.414, 0.361, 0.245)
Ho (0.000, 0.739, 0.000)
Se (0.077, 0.882, 0.765)
Ho (0.500, 0.000, 0.000)
Se (0.586, 0.116, 0.755)
Se (0.586, 0.639, 0.755)
Se (0.089, 0.380, 0.760)
Se (0.923, 0.118, 0.235)
Se (0.414, 0.884, 0.245)
Tb (0.663, 0.742, 0.484)
Se (0.911, 0.620, 0.240)
Ho (0.000, 0.261, 0.000)